Record 1
{
  "formula": "Sm2TmTe",
  "functional": "PBE",
  "state": "relaxed",
  "cell": [[-0.078, -2.557, -3.004], [2.405, -3.129, 0.009], [-6.061, -7.139, 3.642]],
  "species": ["Sm", "Tm", "Te", "Sm"],
  "frac_coords": [[0.260, 0.260, 0.219], [0.500, 0.500, 0.501], [0.667, 0.667, 0.000], [0.073, 0.073, 0.780]],
  "relative_energy_mev_per_atom": 36,
  "crystal_system": "trigonal"
}

Record 2
{
  "formula": "In2IrBr",
  "functional": "PBE",
  "state": "relaxed",
  "cell": [[-3.451, -0.434, -0.036], [0.366, -2.739, -2.111], [0.577, -5.145, 6.774]],
  "species": ["Br", "Ir", "In", "In"],
  "frac_coords": [[0.500, 0.500, 0.769], [0.000, 0.000, 0.304], [0.500, 0.500, 0.432], [0.000, 0.000, 0.995]],
  "relative_energy_mev_per_atom": 124,
  "crystal_system": "tetragonal"
}

Record 3
{
  "formula": "Na2Ca2Ni",
  "functional": "PBE",
  "state": "relaxed",
  "cell": [[7.373, 0.000, 0.000], [0.000, 7.373, 0.000], [0.000, 0.000, 6.248]],
  "species": ["Ca", "Ca", "Ca", "Na", "Ca", "Na", "Na", "Ni", "Ni", "Na"],
  "frac_coords": [[0.323, 0.823, 0.000], [0.677, 0.177, 0.000], [0.177, 0.323, 0.000], [0.168, 0.668, 0.500], [0.823, 0.677, 0.000], [0.668, 0.832, 0.500], [0.832, 0.332, 0.500], [0.500, 0.500, 0.000], [0.000, 0.000, 0.000], [0.332, 0.168, 0.500]],
  "relative_energy_mev_per_atom": 0,
  "formation_enthalpy_0k_ev_per_fu": 1.14,
  "crystal_system": "tetragonal"
}

Record 4
{
  "formula": "KIn2S2",
  "functional": "PBE",
  "state": "relaxed",
  "cell": [[8.840, 0.000, 0.000], [0.000, 8.840, 0.000], [0.000, 0.000, 3.932]],
  "species": ["K", "S", "In", "K", "S", "S", "S", "In", "In", "In"],
  "frac_coords": [[0.000, 0.000, 0.000], [0.748, 0.248, 0.000], [0.117, 0.617, 0.500], [0.500, 0.500, 0.000], [0.252, 0.752, 0.000], [0.752, 0.748, 0.000], [0.248, 0.252, 0.000], [0.617, 0.883, 0.500], [0.383, 0.117, 0.500], [0.883, 0.383, 0.500]],
  "relative_energy_mev_per_atom": 104,
  "crystal_system": "tetragonal"
}

Record 5
{
  "formula": "Pm4Au3",
  "functional": "PBE",
  "state": "relaxed",
  "cell": [[8.294, 0.000, 0.000], [-2.765, 7.285, 0.000], [-2.765, -3.642, 6.309]],
  "species": ["Au", "Au", "Pm", "Pm", "Au", "Pm", "Pm", "Au", "Au", "Au", "Pm", "Pm", "Pm", "Pm"],
  "frac_coords": [[0.550, 0.745, 0.629], [0.079, 0.629, 0.884], [0.500, 0.000, 0.000], [0.640, 0.472, 0.862], [0.921, 0.371, 0.116], [0.222, 0.862, 0.389], [0.000, 0.000, 0.000], [0.805, 0.884, 0.255], [0.450, 0.255, 0.371], [0.195, 0.116, 0.745], [0.360, 0.528, 0.138], [0.778, 0.138, 0.611], [0.167, 0.389, 0.528], [0.833, 0.611, 0.472]],
  "formation_enthalpy_0k_ev_per_fu": -4.55,
  "crystal_system": "trigonal"
}

Record 6
{
  "formula": "AcGdInRh",
  "functional": "PBE",
  "state": "relaxed",
  "cell": [[5.351, 0.000, 0.000], [2.675, 4.634, 0.000], [2.675, 1.545, 4.369]],
  "species": ["Gd", "Ac", "Rh", "In"],
  "frac_coords": [[0.250, 0.250, 0.250], [0.750, 0.750, 0.750], [0.000, 0.000, 0.000], [0.500, 0.500, 0.500]],
  "formation_enthalpy_0k_ev_per_fu": -1.59,
  "crystal_system": "cubic"
}

Record 7
{
  "formula": "GdTmTcRh",
  "functional": "PBE",
  "state": "relaxed",
  "cell": [[4.826, 0.000, 0.000], [2.413, 4.179, 0.000], [2.413, 1.393, 3.940]],
  "species": ["Tm", "Rh", "Gd", "Tc"],
  "frac_coords": [[0.750, 0.750, 0.750], [0.000, 0.000, 0.000], [0.250, 0.250, 0.250], [0.500, 0.500, 0.500]],
  "formation_enthalpy_0k_ev_per_fu": -1.34,
  "crystal_system": "cubic"
}

Record 8
{
  "formula": "TmGe3Ru3",
  "functional": "PBE",
  "state": "relaxed",
  "cell": [[-1.945, -6.288, 1.018], [5.886, -2.181, -2.226], [2.435, 0.250, 6.194]],
  "species": ["Ge", "Ge", "Ge", "Ru", "Ru", "Ru", "Ge", "Ru", "Tm", "Ru", "Ge", "Tm", "Ru", "Ge"],
  "frac_coords": [[0.500, 0.000, 0.750], [0.000, 0.750, 0.500], [0.250, 0.500, 0.000], [0.750, 0.000, 0.500], [0.500, 0.250, 0.000], [0.250, 0.000, 0.500], [0.000, 0.250, 0.500], [0.500, 0.750, 0.000], [0.500, 0.500, 0.500], [0.000, 0.500, 0.750], [0.500, 0.000, 0.250], [0.000, 0.000, 0.000], [0.000, 0.500, 0.250], [0.750, 0.500, 0.000]],
  "formation_enthalpy_0k_ev_per_fu": 1.18,
  "crystal_system": "cubic"
}

Record 9
{
  "formula": "La8In2Cu",
  "functional": "PBE",
  "state": "relaxed",
  "cell": [[5.292, 0.000, -1.429], [-0.490, 6.724, -1.814], [-0.134, -0.218, 10.018]],
  "species": ["In", "La", "La", "In", "La", "La", "Cu", "La", "La", "La", "La"],
  "frac_coords": [[0.823, 0.288, 0.647], [0.590, 0.439, 0.181], [0.790, 0.732, 0.581], [0.177, 0.712, 0.353], [0.410, 0.561, 0.819], [0.348, 0.042, 0.695], [0.500, 0.000, 0.000], [0.652, 0.958, 0.305], [0.008, 0.779, 0.017], [0.210, 0.268, 0.419], [0.992, 0.221, 0.983]],
  "formation_enthalpy_0k_ev_per_fu": -2.41,
  "crystal_system": "monoclinic"
}

Record 10
{
  "formula": "LiYZr",
  "functional": "PBE",
  "state": "relaxed",
  "cell": [[0.000, 3.535, 3.535], [3.535, 0.000, 3.535], [3.535, 3.535, 0.000]],
  "species": ["Y", "Li", "Zr"],
  "frac_coords": [[0.750, 0.750, 0.750], [0.250, 0.250, 0.250], [0.500, 0.500, 0.500]],
  "relative_energy_mev_per_atom": 1039,
  "formation_enthalpy_0k_ev_per_fu": 3.32,
  "crystal_system": "cubic"
}

Record 11
{
  "formula": "MnRu3S",
  "functional": "PBE",
  "state": "relaxed",
  "cell": [[-2.187, 2.175, 2.965], [-3.526, -0.260, -2.410], [-1.045, -3.675, 1.925]],
  "species": ["Ru", "S", "Ru", "Mn", "Ru"],
  "frac_coords": [[0.000, 0.000, 0.500], [0.000, 0.000, 0.000], [0.500, 0.000, 0.000], [0.500, 0.500, 0.500], [0.000, 0.500, 0.000]],
  "relative_energy_mev_per_atom": 0,
  "crystal_system": "cubic"
}

Record 12
{
  "formula": "Li5Pm2Pd5",
  "functional": "PBE",
  "state": "relaxed",
  "cell": [[4.423, 0.000, 0.000], [0.000, 5.190, 0.000], [0.000, 0.000, 9.327]],
  "species": ["Li", "Li", "Pd", "Pd", "Li", "Pd", "Li", "Li", "Pm", "Pd", "Pm", "Pd"],
  "frac_coords": [[0.500, 0.248, 0.755], [0.500, 0.752, 0.755], [0.000, 0.500, 0.333], [0.000, 0.000, 0.822], [0.500, 0.752, 0.245], [0.000, 0.500, 0.667], [0.500, 0.248, 0.245], [0.500, 0.500, 0.500], [0.000, 0.500, 0.000], [0.500, 0.000, 0.000], [0.000, 0.000, 0.500], [0.000, 0.000, 0.178]],
  "formation_enthalpy_0k_ev_per_fu": -6.14,
  "crystal_system": "orthorhombic"
}